(1)
DFT (PBE) results for crystalline CsSb2Pd at its relaxed geometry.

Summary:
Total moment = 0.000 μB per atom
Calculated density = 6.843 g cm⁻³
Energy above the most stable polymorph in this dataset = 206 meV per atom
Volume = 117 Å³ per cell

abc: 3.699 3.699 8.565
angles: 90.00 90.00 90.00
Space group P4/mmm (No. 123)
Asymmetric unit:
Cs 0.000 0.000 0.000 x1
Sb 0.500 0.500 0.336 x2
Pd 0.000 0.000 0.500 x1

(2)
DFT (PBE) results for crystalline Cs3SbPd at its relaxed geometry.

Summary:
Total moment = 0.429 μB per atom
Calculated density = 2.663 g cm⁻³
Energy above the most stable polymorph in this dataset = 334 meV per atom
Volume = 391 Å³ per cell

abc: 7.312 7.312 7.312
angles: 90.00 90.00 90.00
Space group Pm-3m (No. 221)
Asymmetric unit:
Cs 0.000 0.000 0.500 x3
Sb 0.000 0.000 0.000 x1
Pd 0.500 0.500 0.500 x1

(3)
DFT (PBE) results for crystalline Cs2SbPdSe4 at its relaxed geometry.

Summary:
Total moment = 0.000 μB per atom
Calculated density = 4.308 g cm⁻³
Raw total energy = -3.659 eV per atom
Volume = 2497 Å³ per cell

abc: 7.027 15.029 23.644
angles: 90.00 90.00 90.00
Space group Fddd (No. 70, origin choice 2)
Asymmetric unit:
Cs 0.125 0.125 0.298 x16
Sb 0.125 0.125 0.625 x8
Pd 0.125 0.125 0.125 x8
Se 0.119 0.275 0.828 x32

(4)
DFT (PBE) results for crystalline CsSrSb2Pd at its relaxed geometry.

Summary:
Total moment = 0.000 μB per atom
Calculated density = 5.505 g cm⁻³
Raw total energy = -3.397 eV per atom
Volume = 172 Å³ per cell

abc: 5.473 5.473 5.745
angles: 90.00 90.00 90.00
Space group P4/mmm (No. 123)
Asymmetric unit:
Cs 0.000 0.000 0.000 x1
Sr 0.500 0.500 0.000 x1
Sb 0.000 0.500 0.500 x2
Pd 0.000 0.000 0.500 x1

(5)
DFT (PBE) results for crystalline CsTcSbPd2 at its relaxed geometry.

Summary:
Total moment = 0.000 μB per atom
Calculated density = 6.929 g cm⁻³
Raw total energy = -4.587 eV per atom
Volume = 136 Å³ per cell

abc: 5.161 5.161 5.089
angles: 90.00 90.00 90.00
Space group P4/mmm (No. 123)
Asymmetric unit:
Cs 0.000 0.000 0.000 x1
Tc 0.500 0.500 0.500 x1
Sb 0.500 0.500 0.000 x1
Pd 0.000 0.500 0.500 x2

(6)
DFT (PBE) results for crystalline CsSb2TePd at its relaxed geometry.

Summary:
Total moment = 0.000 μB per atom
Calculated density = 6.100 g cm⁻³
Energy above the most stable polymorph in this dataset = 0 meV per atom
Volume = 166 Å³ per cell

abc: 5.325 5.325 5.859
angles: 90.00 90.00 90.00
Space group P4/mmm (No. 123)
Asymmetric unit:
Cs 0.000 0.000 0.000 x1
Sb 0.000 0.500 0.500 x2
Te 0.500 0.500 0.000 x1
Pd 0.500 0.500 0.500 x1

(7)
DFT (PBE) results for crystalline CsSb2TePd at its relaxed geometry.

Summary:
Total moment = 0.000 μB per atom
Calculated density = 4.169 g cm⁻³
Energy above the most stable polymorph in this dataset = 1769 meV per atom
Volume = 243 Å³ per cell

abc: 6.212 6.212 6.301
angles: 90.00 90.00 90.00
Space group P4/mmm (No. 123)
Asymmetric unit:
Cs 0.000 0.000 0.000 x1
Sb 0.000 0.500 0.000 x2
Te 0.000 0.000 0.500 x1
Pd 0.500 0.500 0.500 x1

(8)
DFT (PBE) results for crystalline CsTlSbPd at its relaxed geometry.

Summary:
Total moment = 0.000 μB per atom
Calculated density = 6.777 g cm⁻³
Raw total energy = -3.483 eV per atom
Volume = 416 Å³ per cell

abc: 4.5698 4.5698 22.9841
angles: 90.00 90.00 120.00
Space group R3m (No. 160, hexagonal axes)
Asymmetric unit:
Cs 0.0000 0.0000 0.0000 x3
Tl 0.0000 0.0000 0.7917 x3
Sb 0.0000 0.0000 0.5463 x3
Pd 0.0000 0.0000 0.1914 x3

(9)
DFT (PBE) results for crystalline CsTl2SbPd at its relaxed geometry.

Summary:
Total moment = 0.000 μB per atom
Calculated density = 7.491 g cm⁻³
Raw total energy = -3.089 eV per atom
Volume = 171 Å³ per cell

abc: 5.605 5.605 5.432
angles: 90.00 90.00 90.00
Space group P4/mmm (No. 123)
Asymmetric unit:
Cs 0.000 0.000 0.000 x1
Tl 0.000 0.500 0.500 x2
Sb 0.500 0.500 0.000 x1
Pd 0.500 0.500 0.500 x1

(10)
DFT (PBE) results for crystalline CsScPd3 at its relaxed geometry.

Summary:
Energy of formation = 181 meV/atom
Total moment = 0.000 μB per atom
Calculated density = 6.217 g cm⁻³
Energy above the most stable polymorph in this dataset = 0 meV per atom
Volume = 133 Å³ per cell

abc: 5.102 5.102 5.102
angles: 90.00 90.00 90.00
Space group Pm-3m (No. 221)
Asymmetric unit:
Cs 0.000 0.000 0.000 x1
Sc 0.500 0.500 0.500 x1
Pd 0.000 0.500 0.500 x3

(11)
DFT (PBE) results for crystalline Cs3ScPd at its relaxed geometry.

Summary:
Energy of formation = 621 meV/atom
Total moment = 0.403 μB per atom
Calculated density = 2.973 g cm⁻³
Energy above the most stable polymorph in this dataset = 0 meV per atom
Volume = 307 Å³ per cell

abc: 6.748 6.748 6.748
angles: 90.00 90.00 90.00
Space group Pm-3m (No. 221)
Asymmetric unit:
Cs 0.000 0.000 0.500 x3
Sc 0.500 0.500 0.500 x1
Pd 0.000 0.000 0.000 x1

(12)
DFT (PBE) results for crystalline CsScPd3 at its relaxed geometry.

Summary:
Energy of formation = 1276 meV/atom
Total moment = 0.000 μB per atom
Calculated density = 5.797 g cm⁻³
Energy above the most stable polymorph in this dataset = 1095 meV per atom
Volume = 142 Å³ per cell

abc: 5.222 5.222 5.222
angles: 90.00 90.00 90.00
Space group Pm-3m (No. 221)
Asymmetric unit:
Cs 0.000 0.000 0.000 x1
Sc 0.500 0.500 0.500 x1
Pd 0.000 0.000 0.500 x3